VASP calculation (GGA-PBE) on a geometry-optimized AlCu4Ru structure.

The structure in POSCAR format:
```
AlCu4Ru
1.0
0.000 3.372 3.372
3.372 0.000 3.372
3.372 3.372 0.000
Al Cu Ru
1 4 1
Cartesian
0.000 0.000 0.000
4.215 2.529 2.529
2.529 4.215 2.529
2.529 2.529 4.215
4.215 4.215 4.215
1.686 1.686 1.686
```

Values from the calculation:
* Fermi-level density of states: 4.07 states/eV/cell
* formation energy: 0.060 eV per atom
* E_tot: -4.840 eV per atom
* space-group type: No. 216